# 1
ZnNi5, single point on PBEsol structure, DFT SCAN; energy of formation from the pure elements = -0.059 eV/atom
1.0
1.751 -5.235 0.000
1.751 5.235 0.000
0.000 0.000 3.494
Zn Ni
1 5
Direct
0.000 0.000 0.000 Zn
0.170 0.830 0.500 Ni
0.331 0.669 0.000 Ni
0.500 0.500 0.500 Ni
0.669 0.331 0.000 Ni
0.830 0.170 0.500 Ni

***

# 2
Cs2CeAgI6, single point on PBEsol structure, DFT SCAN; E_form (uncorrected) = -1.37 eV/atom
1.0
0.000 6.184 6.184
6.184 0.000 6.184
6.184 6.184 0.000
Cs Ce Ag I
2 1 1 6
Direct
0.250 0.250 0.250 Cs
0.750 0.750 0.750 Cs
0.000 0.000 0.000 Ce
0.500 0.500 0.500 Ag
0.253 0.253 0.747 I
0.253 0.747 0.253 I
0.253 0.747 0.747 I
0.747 0.253 0.253 I
0.747 0.253 0.747 I
0.747 0.747 0.253 I

***

# 3
Sc8Ta, single point on PBEsol structure, DFT SCAN; energy of formation from the pure elements = 0.115 eV/atom
1.0
-4.747 4.747 2.234
4.747 -4.747 2.234
4.747 4.747 -2.234
Sc Ta
8 1
Direct
0.000 0.324 0.324 Sc
0.000 0.676 0.676 Sc
0.324 0.000 0.324 Sc
0.342 0.342 0.684 Sc
0.342 0.658 0.000 Sc
0.658 0.342 0.000 Sc
0.658 0.658 0.316 Sc
0.676 0.000 0.676 Sc
0.000 0.000 0.000 Ta